[1]
Mg2U: optimized geometry, PBE.

```
Mg2U
1.0
4.907 -2.990 0.000
4.907 2.990 0.000
0.000 0.000 4.845
Mg U
4 2
direct
0.023 0.308 0.250
0.308 0.023 0.750
0.692 0.977 0.250
0.977 0.692 0.750
0.400 0.600 0.250
0.600 0.400 0.750
```

Values from the calculation:
- E_tot (eV/cell) = -26.3

---

[2]
MgU: optimized geometry, PBE.

```
MgU
1.0
6.379 0.000 0.000
0.000 4.764 0.000
-0.116 0.000 8.933
Mg U
6 6
direct
0.106 0.250 0.400
0.197 0.250 0.739
0.393 0.750 0.576
0.607 0.250 0.424
0.803 0.750 0.261
0.894 0.750 0.600
0.076 0.750 0.963
0.314 0.750 0.187
0.423 0.250 0.082
0.577 0.750 0.918
0.686 0.250 0.813
0.924 0.250 0.037
```

Values from the calculation:
- E_tot (eV/cell) = -74.4

---

[3]
MgU: optimized geometry, PBE.

```
MgU
1.0
6.056 0.000 0.000
0.000 4.877 0.000
-3.023 0.000 7.466
Mg U
5 5
direct
0.000 0.000 0.000
0.059 0.500 0.597
0.245 0.500 0.972
0.713 0.500 0.785
0.788 0.000 0.573
0.227 0.000 0.431
0.387 0.500 0.377
0.407 0.000 0.787
0.580 0.000 0.142
0.788 0.500 0.192
```

Values from the calculation:
- E_tot (eV/cell) = -60.4

---

[4]
MgU: optimized geometry, PBE.

```
MgU
1.0
6.694 0.000 0.000
0.000 5.027 0.000
-0.013 0.000 16.098
Mg U
12 12
direct
0.097 0.250 0.165
0.098 0.750 0.335
0.149 0.250 0.819
0.149 0.750 0.681
0.373 0.250 0.313
0.373 0.750 0.187
0.627 0.250 0.813
0.627 0.750 0.687
0.851 0.250 0.319
0.851 0.750 0.181
0.902 0.250 0.665
0.903 0.750 0.835
0.166 0.250 0.499
0.166 0.750 0.001
0.335 0.250 0.003
0.335 0.750 0.498
0.403 0.250 0.618
0.403 0.750 0.882
0.597 0.250 0.118
0.597 0.750 0.382
0.665 0.250 0.502
0.665 0.750 0.997
0.834 0.250 0.999
0.834 0.750 0.501
```

Values from the calculation:
- E_tot (eV/cell) = -147.7

---

[5]
MgU: optimized geometry, PBE.

```
MgU
1.0
6.736 0.000 0.000
0.000 5.402 0.000
0.000 0.000 4.864
Mg U
4 4
direct
0.113 0.094 0.250
0.113 0.406 0.750
0.887 0.594 0.250
0.887 0.906 0.750
0.414 0.627 0.250
0.414 0.873 0.750
0.586 0.127 0.250
0.586 0.373 0.750
```

Values from the calculation:
- E_tot (eV/cell) = -49.4

---

[6]
MgU: optimized geometry, PBE.

```
MgU
1.0
2.940 0.000 0.000
-1.470 2.546 0.000
0.000 0.000 12.210
Mg U
2 2
direct
0.333 0.667 0.000
0.667 0.333 0.500
0.333 0.667 0.264
0.667 0.333 0.764
```

Values from the calculation:
- E_tot (eV/cell) = -24.1

---

[7]
MgU: optimized geometry, PBE.

```
MgU
1.0
4.672 0.000 0.000
0.000 15.969 0.000
0.000 0.000 4.795
Mg U
8 8
direct
0.250 0.000 0.243
0.250 0.114 0.740
0.250 0.386 0.740
0.250 0.500 0.243
0.750 0.000 0.757
0.750 0.500 0.757
0.750 0.614 0.260
0.750 0.886 0.260
0.250 0.250 0.222
0.250 0.652 0.737
0.250 0.750 0.298
0.250 0.848 0.737
0.750 0.152 0.263
0.750 0.250 0.702
0.750 0.348 0.263
0.750 0.750 0.778
```

Values from the calculation:
- E_tot (eV/cell) = -97.7

---

[8]
MgU: optimized geometry, PBE.

```
MgU
1.0
6.531 0.000 0.000
-3.266 5.656 0.000
0.000 0.000 5.058
Mg U
4 4
direct
0.000 0.000 0.000
0.166 0.332 0.500
0.166 0.834 0.500
0.668 0.834 0.500
0.523 0.046 0.000
0.523 0.477 0.000
0.667 0.333 0.500
0.954 0.477 0.000
```

Values from the calculation:
- E_tot (eV/cell) = -47.6

---

Repeat the first record exactly.
Mg2U: optimized geometry, PBE.

```
Mg2U
1.0
4.907 -2.990 0.000
4.907 2.990 0.000
0.000 0.000 4.845
Mg U
4 2
direct
0.023 0.308 0.250
0.308 0.023 0.750
0.692 0.977 0.250
0.977 0.692 0.750
0.400 0.600 0.250
0.600 0.400 0.750
```

Values from the calculation:
- E_tot (eV/cell) = -26.3

---

> Look up the E_tot of the first one.

-26.3 eV/cell

---

> Which of these has the highest E_tot?

number 6